The following is a PBE with a Hubbard U calculation of a relaxed Ca2VOsO6 crystal, from Alexandria.

Cell lengths 5.508, 5.508, 3.923 Å; angles 90.00, 90.00, 90.00 degrees
Space group P4mm (No. 99)
Symmetry-distinct sites (fractional):
Ca 0.000 0.500 0.000 (multiplicity 2)
V 0.000 0.000 0.533 (multiplicity 1)
Os 0.500 0.500 0.538 (multiplicity 1)
O 0.000 0.000 0.037 (multiplicity 1)
O 0.248 0.248 0.544 (multiplicity 4)
O 0.500 0.500 0.039 (multiplicity 1)

Computed properties:
As for the total energy: -7.261 eV/atom. As for the crystal system: tetragonal.